1.
First-principles (PBE) data for YTe5 after structural relaxation, as listed in the Alexandria database.

Cell and atoms, written as POSCAR:
```
YTe5
1.0
3.0102 -5.2138 0.0000
3.0102 5.2138 0.0000
0.0000 0.0000 5.5414
Y Te
1 5
Direct
0.0000 0.0000 0.5000
0.7071 0.0000 0.0000
0.2929 0.2929 0.0000
0.0000 0.7071 0.0000
0.6667 0.3333 0.5000
0.3333 0.6667 0.5000
```

Formation energy from raw total energies (eV/atom): -0.286

2.
First-principles (PBE) data for YTe3 after structural relaxation, as listed in the Alexandria database.

Cell and atoms, written as POSCAR:
```
YTe3
1.0
3.3221 -5.7540 0.0000
3.3221 5.7540 0.0000
0.0000 0.0000 6.0600
Y Te
2 6
Direct
0.3333 0.6667 0.2500
0.6667 0.3333 0.7500
0.8262 0.6523 0.2500
0.3477 0.1738 0.2500
0.8262 0.1738 0.2500
0.1738 0.3477 0.7500
0.6523 0.8262 0.7500
0.1738 0.8262 0.7500
```

Formation energy from raw total energies (eV/atom): -0.523